A relaxed structure of Pr3ThMg4, computed with GGA-PBE.

Summary:
As for the symmetry: Pmmm (47). The formation energy is -0.0628 eV/atom. As for the total energy: -3.5799 eV/atom. Its density of states at the Fermi level is 1.079 states/eV/atom.

Unit cell a=3.8709 b=5.5150 c=11.0446 alpha=90.00 beta=90.00 gamma=90.00
Sites, in units of the cell vectors:
Pr 0.0000 0.0000 0.0000
Pr 0.0000 0.5000 0.2543
Pr 0.0000 0.5000 0.7457
Th 0.0000 0.0000 0.5000
Mg 0.5000 0.0000 0.2506
Mg 0.5000 0.0000 0.7494
Mg 0.5000 0.5000 0.0000
Mg 0.5000 0.5000 0.5000